Material: TbErW2N6
Method: DFT, PBE
State: relaxed

abc: 7.3269 7.3269 6.2585
angles: 106.11 106.11 81.65
With the nearest neighbours (Å) after each atom.
Sites, in units of the cell vectors:
Tb (0.2091, 0.7909, 0.7500)  6 N 2.34-2.51
Tb (0.7909, 0.2091, 0.2500)  6 N 2.34-2.51
Er (0.4114, 0.5886, 0.2500)  6 N 2.28-2.44
Er (0.5886, 0.4114, 0.7500)  6 N 2.28-2.44
W (0.1193, 0.3003, 0.7327)  4 N 1.80-1.94
W (0.3003, 0.1193, 0.2327)  4 N 1.80-1.94
W (0.6997, 0.8807, 0.7673)  4 N 1.80-1.94
W (0.8807, 0.6997, 0.2673)  4 N 1.80-1.94
N (0.1263, 0.6094, 0.3372)  1 W 1.80
N (0.1363, 0.1503, 0.4385)  2 W 1.89-1.94
N (0.1503, 0.1363, 0.9385)  2 W 1.89-1.94
N (0.2828, 0.4987, 0.8491)  1 W 1.87
N (0.3906, 0.8737, 0.1628)  1 W 1.80
N (0.4987, 0.2828, 0.3491)  1 W 1.87
N (0.5013, 0.7172, 0.6509)  1 W 1.87
N (0.6094, 0.1263, 0.8372)  1 W 1.80
N (0.7172, 0.5013, 0.1509)  1 W 1.87
N (0.8497, 0.8637, 0.0615)  2 W 1.89-1.94
N (0.8637, 0.8497, 0.5615)  2 W 1.89-1.94
N (0.8737, 0.3906, 0.6628)  1 W 1.80

The energy relative to the elements, uncorrected is -984 kJ/mol of formula units. As for the space group: C2/c (15).